Record 1
A plane-wave DFT calculation with GGA-PBE was carried out for Mn2Zn2Co15 after structural relaxation.

Cell lengths 6.178, 6.178, 6.178 Å; angles 83.05, 83.05, 83.05 degrees
Positions (direct):
1 Mn 0.358 0.358 0.358
2 Mn 0.642 0.642 0.642
3 Zn 0.110 0.110 0.110
4 Zn 0.890 0.890 0.890
5 Co 0.500 0.000 0.000
6 Co 0.000 0.000 0.500
7 Co 0.000 0.500 0.000
8 Co 0.000 0.705 0.295
9 Co 0.705 0.295 0.000
10 Co 0.295 0.000 0.705
11 Co 0.295 0.705 0.000
12 Co 0.705 0.000 0.295
13 Co 0.000 0.295 0.705
14 Co 0.158 0.640 0.640
15 Co 0.640 0.640 0.158
16 Co 0.640 0.158 0.640
17 Co 0.842 0.360 0.360
18 Co 0.360 0.360 0.842
19 Co 0.360 0.842 0.360

## Properties
**Space group**: R-3m, No. 166
**DOS at the Fermi energy**: 17.35 states/eV/f.u.

***

Record 2
A plane-wave DFT calculation with GGA-PBE was carried out for Cs3GaCl6 after structural relaxation.

Cell lengths 8.011, 8.011, 8.011 Å; angles 60.00, 60.00, 60.00 degrees
Positions (direct):
1 Cs 0.750 0.750 0.750
2 Cs 0.250 0.250 0.250
3 Cs 0.500 0.500 0.500
4 Ga 0.000 0.000 0.000
5 Cl 0.788 0.212 0.212
6 Cl 0.212 0.212 0.788
7 Cl 0.212 0.788 0.788
8 Cl 0.212 0.788 0.212
9 Cl 0.788 0.212 0.788
10 Cl 0.788 0.788 0.212

## Properties
**Formation energy (no corrections)**: -1.632 eV/atom
**Energy above the lowest structure with this stoichiometry**: 35 meV per atom
**Space group**: Fm-3m, No. 225
**DOS at the Fermi energy**: 0.00 states/eV/f.u.

***

Record 3
A plane-wave DFT calculation with GGA-PBE was carried out for KTc2Au after structural relaxation.

Cell lengths 6.033, 6.033, 2.636 Å; angles 80.85, 80.85, 124.98 degrees
Positions (direct):
1 Au 0.500 0.000 0.500
2 K 0.000 0.500 0.500
3 Tc 0.000 0.000 0.000
4 Tc 0.500 0.500 0.000

## Properties
**Energy above the lowest structure with this stoichiometry**: 615 meV per atom
**Space group**: C2/m, No. 12
**DOS at the Fermi energy**: 4.39 states/eV/f.u.

***

Calculated uncorrected energy (eV per atom), listed in the same order as above: -6.56, -3.30, -5.24